Entry from Alexandria: an optimized crystal structure of PuHgCl2 (PBE).

Cell lengths 3.9491, 3.9491, 22.5340 Å; angles 90.00, 90.00, 120.00 degrees
Closest atoms and distances in Å follow each position.
Positions (direct):
Pu: 0.0000 0.0000 0.5000  6 Cl 2.81
Pu: 0.0000 0.0000 0.0000  6 Cl 2.81
Hg: 0.6667 0.3333 0.7500  6 Hg 3.95, 2 Cl 3.99
Hg: 0.3333 0.6667 0.2500  6 Hg 3.95, 2 Cl 3.99
Cl: 0.6667 0.3333 0.9272  3 Pu 2.81
Cl: 0.3333 0.6667 0.4272  3 Pu 2.81
Cl: 0.6667 0.3333 0.5728  3 Pu 2.81
Cl: 0.3333 0.6667 0.0728  3 Pu 2.81

Summary:
- Calculated density: 5.63 g/cm³
- VASP energy: -5.87 eV/atom